An optimized crystal structure of In2TcRh. Source: the Alexandria database, functional PBE.

Results
E above lowest polymorph: 498 meV per atom
energy of formation: 0.4847 eV per atom
VASP energy: -5.31 eV/atom
space group: I-42d
crystal system: tetragonal
density of states at the Fermi level: 2.1 states/eV/f.u.

Cell lengths 7.3471, 7.3471, 5.9514 Å; angles 51.88, 51.88, 90.00 degrees
Last column: nearest neighbours and their distance in Å.
Sites, in units of the cell vectors:
Tc (0.5000, 0.5000, 0.0000)  4 In 2.76, 2 Rh 2.90
In (0.8750, 0.8869, 0.7500)  2 Rh 2.64, 2 Tc 2.76, 2 In 2.91
In (0.3750, 0.3631, 0.7500)  2 Rh 2.64, 2 Tc 2.76, 2 In 2.91
In (0.6369, 0.1250, 0.2500)  2 Rh 2.64, 2 Tc 2.76, 2 In 2.91
Rh (0.0000, 0.0000, 0.0000)  4 In 2.64, 2 Tc 2.90
Rh (0.7500, 0.2500, 0.5000)  4 In 2.64, 2 Tc 2.90
Tc (0.2500, 0.7500, 0.5000)  4 In 2.76, 2 Rh 2.90
In (0.1131, 0.6250, 0.2500)  2 Rh 2.64, 2 Tc 2.76, 2 In 2.91

=====

An optimized crystal structure of KPd12Pb6. Source: the Alexandria database, functional PBE.

Results
energy of formation: -0.1097 eV per atom
VASP energy: -4.62 eV/atom
space group: R-3m
crystal system: trigonal
density of states at the Fermi level: 8.0 states/eV/f.u.

Cell lengths 7.7236, 7.7236, 7.7236 Å; angles 104.77, 104.77, 104.77 degrees
Last column: nearest neighbours and their distance in Å.
Sites, in units of the cell vectors:
Pb (0.7026, 0.2740, 0.2740)  7 Pd 2.71-2.88
Pd (0.1133, 0.5000, 0.8867)  4 Pb 2.71-2.77, 3 Pd 2.77-2.95
Pd (0.8633, 0.6096, 0.6096)  4 Pb 2.83-3.06, 4 Pd 2.95-3.10
Pd (0.1367, 0.3904, 0.3904)  4 Pb 2.83-3.06, 4 Pd 2.95-3.10
Pb (0.2974, 0.7260, 0.7260)  7 Pd 2.71-2.88
Pd (0.6096, 0.6096, 0.8633)  4 Pb 2.83-3.06, 4 Pd 2.95-3.10
Pd (0.3904, 0.1367, 0.3904)  4 Pb 2.83-3.06, 4 Pd 2.95-3.10
Pb (0.7260, 0.7260, 0.2974)  7 Pd 2.71-2.88
Pd (0.8867, 0.1133, 0.5000)  4 Pb 2.71-2.77, 3 Pd 2.77-2.95
Pd (0.5000, 0.8867, 0.1133)  4 Pb 2.71-2.77, 3 Pd 2.77-2.95
Pd (0.8867, 0.5000, 0.1133)  4 Pb 2.71-2.77, 3 Pd 2.77-2.95
Pd (0.1133, 0.8867, 0.5000)  4 Pb 2.71-2.77, 3 Pd 2.77-2.95
Pb (0.2740, 0.7026, 0.2740)  7 Pd 2.71-2.88
Pd (0.5000, 0.1133, 0.8867)  4 Pb 2.71-2.77, 3 Pd 2.77-2.95
Pb (0.7260, 0.2974, 0.7260)  7 Pd 2.71-2.88
Pd (0.3904, 0.3904, 0.1367)  4 Pb 2.83-3.06, 4 Pd 2.95-3.10
Pd (0.6096, 0.8633, 0.6096)  4 Pb 2.83-3.06, 4 Pd 2.95-3.10
K (0.0000, 0.0000, 0.0000)  6 Pd 3.38
Pb (0.2740, 0.2740, 0.7026)  7 Pd 2.71-2.88

=====

An optimized crystal structure of Cd2Sn2Sb. Source: the Alexandria database, functional PBE.

Results
E above lowest polymorph: 0 meV per atom
VASP energy: -2.68 eV/atom
space group: P4/mbm
crystal system: tetragonal
density of states at the Fermi level: 3.2 states/eV/f.u.

Cell lengths 9.0860, 9.0860, 3.2724 Å; angles 90.00, 90.00, 90.00 degrees
Last column: nearest neighbours and their distance in Å.
Sites, in units of the cell vectors:
Sn (0.1878, 0.3122, 0.0000)  6 Cd 3.02-3.27, 2 Sn 3.27, 2 Sb 3.31
Sn (0.6878, 0.1878, 0.0000)  6 Cd 3.02-3.27, 2 Sn 3.27, 2 Sb 3.31
Sb (0.0000, 0.0000, 0.0000)  2 Sb 3.27, 4 Sn 3.31
Sb (0.5000, 0.5000, 0.0000)  2 Sb 3.27, 4 Sn 3.31
Cd (0.3852, 0.1148, 0.5000)  3 Cd 2.95-3.27, 6 Sn 3.02-3.27
Cd (0.6148, 0.8852, 0.5000)  3 Cd 2.95-3.27, 6 Sn 3.02-3.27
Sn (0.3122, 0.8122, 0.0000)  6 Cd 3.02-3.27, 2 Sn 3.27, 2 Sb 3.31
Sn (0.8122, 0.6878, 0.0000)  6 Cd 3.02-3.27, 2 Sn 3.27, 2 Sb 3.31
Cd (0.1148, 0.6148, 0.5000)  3 Cd 2.95-3.27, 6 Sn 3.02-3.27
Cd (0.8852, 0.3852, 0.5000)  3 Cd 2.95-3.27, 6 Sn 3.02-3.27